Crystalline Li2Ac2BPt4 at its relaxed geometry, computed with PBE-GGA.

Formation energy from the elements: -0.719 eV per atom

```
data_Li2Ac2BPt4
_cell_length_a 6.6436
_cell_length_b 6.6436
_cell_length_c 8.3280
_cell_angle_alpha 90.00
_cell_angle_beta 90.00
_cell_angle_gamma 90.00
_symmetry_space_group_name_H-M 'I 4/m m m'
_symmetry_Int_Tables_number 139
_symmetry_space_group_name_Hall '-I 4 2'
loop_
_atom_site_label
_atom_site_type_symbol
_atom_site_fract_x
_atom_site_fract_y
_atom_site_fract_z
_atom_site_occupancy
Li1 Li 0.0000 0.0000 0.1586 1
Ac1 Ac 0.0000 0.5000 0.2500 1
B1 B 0.0000 0.0000 0.5000 1
Pt1 Pt 0.2262 0.2262 0.5000 1
```


Crystalline Cs2Al2Si3O10 at its relaxed geometry, computed with PBE-GGA.

Energy relative to the elements, uncorrected: -47.7 eV/f.u.

```
data_Cs2Al2Si3O10
_cell_length_a 18.3774
_cell_length_b 19.5093
_cell_length_c 6.6392
_cell_angle_alpha 90.00
_cell_angle_beta 90.00
_cell_angle_gamma 90.00
_symmetry_space_group_name_H-M 'F d d 2'
_symmetry_Int_Tables_number 43
_symmetry_space_group_name_Hall 'F 2 -2d'
loop_
_atom_site_label
_atom_site_type_symbol
_atom_site_fract_x
_atom_site_fract_y
_atom_site_fract_z
_atom_site_occupancy
Cs1 Cs 0.0380 0.3039 0.0000 1
Al1 Al 0.0431 0.4112 0.5132 1
Si1 Si 0.0000 0.0000 0.6289 1
Si2 Si 0.0954 0.0387 0.2532 1
O1 O 0.0190 0.4327 0.2635 1
O2 O 0.0342 0.0911 0.1681 1
O3 O 0.0720 0.0159 0.4868 1
O4 O 0.0754 0.3262 0.5201 1
O5 O 0.1061 0.4705 0.6136 1
```


Crystalline SiTePRu2 at its relaxed geometry, computed with PBE-GGA.

Energy relative to the elements, uncorrected: 6.0 eV/f.u.

```
data_SiTePRu2
_cell_length_a 4.4657
_cell_length_b 4.4657
_cell_length_c 5.0833
_cell_angle_alpha 90.00
_cell_angle_beta 90.00
_cell_angle_gamma 90.00
_symmetry_space_group_name_H-M 'P 4/m m m'
_symmetry_Int_Tables_number 123
_symmetry_space_group_name_Hall '-P 4 2'
loop_
_atom_site_label
_atom_site_type_symbol
_atom_site_fract_x
_atom_site_fract_y
_atom_site_fract_z
_atom_site_occupancy
Si1 Si 0.0000 0.0000 0.0000 1
Te1 Te 0.0000 0.0000 0.5000 1
P1 P 0.5000 0.5000 0.5000 1
Ru1 Ru 0.0000 0.5000 0.0000 1
```


Crystalline POs2Br at its relaxed geometry, computed with PBE-GGA.

Energy relative to the elements, uncorrected: 2.1 eV/f.u.

```
data_POs2Br
_cell_length_a 2.9283
_cell_length_b 2.9283
_cell_length_c 28.8421
_cell_angle_alpha 90.00
_cell_angle_beta 90.00
_cell_angle_gamma 120.00
_symmetry_space_group_name_H-M 'R 3 m'
_symmetry_Int_Tables_number 160
_symmetry_space_group_name_Hall 'R 3 -2"'
loop_
_atom_site_label
_atom_site_type_symbol
_atom_site_fract_x
_atom_site_fract_y
_atom_site_fract_z
_atom_site_occupancy
P1 P 0.0000 0.0000 0.0000 1
Os1 Os 0.0000 0.0000 0.4673 1
Os2 Os 0.0000 0.0000 0.7258 1
Br1 Br 0.0000 0.0000 0.2070 1
```


Crystalline LiTe at its relaxed geometry, computed with PBE-GGA.

Energy relative to the elements, uncorrected: -0.9 eV/f.u.

```
data_LiTe
_cell_length_a 11.5853
_cell_length_b 11.5853
_cell_length_c 3.7815
_cell_angle_alpha 90.00
_cell_angle_beta 90.00
_cell_angle_gamma 120.00
_symmetry_space_group_name_H-M 'P 63/m'
_symmetry_Int_Tables_number 176
_symmetry_space_group_name_Hall '-P 6c'
loop_
_atom_site_label
_atom_site_type_symbol
_atom_site_fract_x
_atom_site_fract_y
_atom_site_fract_z
_atom_site_occupancy
Li1 Li 0.1467 0.4512 0.2500 1
Te1 Te 0.0529 0.6340 0.2500 1
```


Crystalline YCdHg2 at its relaxed geometry, computed with PBE-GGA.

Formation energy from the elements: -0.129 eV per atom

```
data_YCdHg2
_cell_length_a 3.6590
_cell_length_b 3.6590
_cell_length_c 27.5816
_cell_angle_alpha 90.00
_cell_angle_beta 90.00
_cell_angle_gamma 120.00
_symmetry_space_group_name_H-M 'R 3 m'
_symmetry_Int_Tables_number 160
_symmetry_space_group_name_Hall 'R 3 -2"'
loop_
_atom_site_label
_atom_site_type_symbol
_atom_site_fract_x
_atom_site_fract_y
_atom_site_fract_z
_atom_site_occupancy
Y1 Y 0.0000 0.0000 0.0000 1
Cd1 Cd 0.0000 0.0000 0.2440 1
Hg1 Hg 0.0000 0.0000 0.4988 1
Hg2 Hg 0.0000 0.0000 0.7514 1
```


Crystalline AgTeSe at its relaxed geometry, computed with PBE-GGA.

Energy relative to the elements, uncorrected: 0.2 eV/f.u.

```
data_AgTeSe
_cell_length_a 4.0958
_cell_length_b 4.0958
_cell_length_c 4.9885
_cell_angle_alpha 90.00
_cell_angle_beta 90.00
_cell_angle_gamma 120.00
_symmetry_space_group_name_H-M 'P 3 m 1'
_symmetry_Int_Tables_number 156
loop_
_symmetry_equiv_pos_as_xyz
'x,y,z'
'-y,x-y,z'
'-x+y,-x,z'
'-y,-x,z'
'-x+y,y,z'
'x,x-y,z'
loop_
_atom_site_label
_atom_site_type_symbol
_atom_site_fract_x
_atom_site_fract_y
_atom_site_fract_z
_atom_site_occupancy
Ag1 Ag 0.0000 0.0000 0.0000 1
Te1 Te 0.3333 0.6667 0.6836 1
Se1 Se 0.6667 0.3333 0.2771 1
```


Crystalline KInAgBr3 at its relaxed geometry, computed with PBE-GGA.

Energy relative to the elements, uncorrected: -5.2 eV/f.u.

```
data_KInAgBr3
_cell_length_a 10.0086
_cell_length_b 4.6420
_cell_length_c 10.3211
_cell_angle_alpha 90.00
_cell_angle_beta 97.60
_cell_angle_gamma 90.00
_symmetry_space_group_name_H-M 'P 1 21/m 1'
_symmetry_Int_Tables_number 11
loop_
_symmetry_equiv_pos_as_xyz
'x,y,z'
'-x,-y,-z'
'-x,y+1/2,-z'
'x,-y+1/2,z'
loop_
_atom_site_label
_atom_site_type_symbol
_atom_site_fract_x
_atom_site_fract_y
_atom_site_fract_z
_atom_site_occupancy
K1 K 0.1315 0.2500 0.1770 1
In1 In 0.4434 0.7500 0.8862 1
Ag1 Ag 0.1441 0.2500 0.5769 1
Br1 Br 0.1198 0.7500 0.4035 1
Br2 Br 0.1806 0.7500 0.9660 1
Br3 Br 0.3887 0.2500 0.6977 1
```


Crystalline Ca2CuAs4Pt3 at its relaxed geometry, computed with PBE-GGA.

Formation energy from the elements: -0.695 eV per atom

```
data_Ca2CuAs4Pt3
_cell_length_a 4.3306
_cell_length_b 4.3306
_cell_length_c 10.3802
_cell_angle_alpha 90.00
_cell_angle_beta 90.00
_cell_angle_gamma 90.00
_symmetry_space_group_name_H-M 'P -4 m 2'
_symmetry_Int_Tables_number 115
loop_
_symmetry_equiv_pos_as_xyz
'x,y,z'
'y,-x,-z'
'-x,-y,z'
'-y,x,-z'
'-x,y,z'
'-y,-x,-z'
'x,-y,z'
'y,x,-z'
loop_
_atom_site_label
_atom_site_type_symbol
_atom_site_fract_x
_atom_site_fract_y
_atom_site_fract_z
_atom_site_occupancy
Ca1 Ca 0.0000 0.5000 0.2404 1
Cu1 Cu 0.5000 0.5000 0.0000 1
As1 As 0.0000 0.0000 0.5000 1
As2 As 0.0000 0.5000 0.8672 1
As3 As 0.5000 0.5000 0.5000 1
Pt1 Pt 0.0000 0.0000 0.0000 1
Pt2 Pt 0.0000 0.5000 0.6297 1
```


Crystalline Be3SbS at its relaxed geometry, computed with PBE-GGA.

Energy relative to the elements, uncorrected: 2.5 eV/f.u.

```
data_Be3SbS
_cell_length_a 4.2378
_cell_length_b 4.2378
_cell_length_c 4.2378
_cell_angle_alpha 90.00
_cell_angle_beta 90.00
_cell_angle_gamma 90.00
_symmetry_space_group_name_H-M 'P m -3 m'
_symmetry_Int_Tables_number 221
_symmetry_space_group_name_Hall '-P 4 2 3'
loop_
_atom_site_label
_atom_site_type_symbol
_atom_site_fract_x
_atom_site_fract_y
_atom_site_fract_z
_atom_site_occupancy
Be1 Be 0.0000 0.0000 0.5000 1
Sb1 Sb 0.5000 0.5000 0.5000 1
S1 S 0.0000 0.0000 0.0000 1
```


Crystalline MgRhCl at its relaxed geometry, computed with PBE-GGA.

Energy relative to the elements, uncorrected: 0.9 eV/f.u.

```
data_MgRhCl
_cell_length_a 4.1765
_cell_length_b 4.1765
_cell_length_c 9.0101
_cell_angle_alpha 90.00
_cell_angle_beta 90.00
_cell_angle_gamma 120.00
_symmetry_space_group_name_H-M 'P 63/m m c'
_symmetry_Int_Tables_number 194
_symmetry_space_group_name_Hall '-P 6c 2c'
loop_
_atom_site_label
_atom_site_type_symbol
_atom_site_fract_x
_atom_site_fract_y
_atom_site_fract_z
_atom_site_occupancy
Mg1 Mg 0.3333 0.6667 0.2500 1
Rh1 Rh 0.0000 0.0000 0.0000 1
Cl1 Cl 0.0000 0.0000 0.2500 1
```


Crystalline Tl2CdPtI at its relaxed geometry, computed with PBE-GGA.

Energy relative to the elements, uncorrected: -1.5 eV/f.u.

```
data_Tl2CdPtI
_cell_length_a 5.4255
_cell_length_b 5.4255
_cell_length_c 5.3637
_cell_angle_alpha 90.00
_cell_angle_beta 90.00
_cell_angle_gamma 90.00
_symmetry_space_group_name_H-M 'P 4/m m m'
_symmetry_Int_Tables_number 123
_symmetry_space_group_name_Hall '-P 4 2'
loop_
_atom_site_label
_atom_site_type_symbol
_atom_site_fract_x
_atom_site_fract_y
_atom_site_fract_z
_atom_site_occupancy
Tl1 Tl 0.0000 0.5000 0.0000 1
Cd1 Cd 0.0000 0.0000 0.5000 1
Pt1 Pt 0.0000 0.0000 0.0000 1
I1 I 0.5000 0.5000 0.5000 1
```


The evaluated Fermi-level density of states for the records listed, in turn: 0.4698, 0.0000, 1.0762, 0.5886, 0.5769, 0.7275, 0.5388, 0.0000, 0.2989, 0.7010, 0.5260, 0.3170 states/eV/atom.
The evaluated VASP energy for the records listed, in turn: -49.4, -122.7, -26.5, -27.5, -5.9, -8.5, -9.3, -16.9, -51.8, -16.9, -9.9, -14.7 eV/f.u..